# CdBiW2Se, optimized geometry, DFT PBEsol
# ΔE_f (raw): 2.59 eV/atom
data_CdBiW2Se
_space_group_name_H-M_alt 'P 4/m m m'
_space_group_IT_number 123
_space_group_name_Hall '-P 4 2'
_cell_length_a 5.1598
_cell_length_b 5.1598
_cell_length_c 5.3819
_cell_angle_alpha 90.00
_cell_angle_beta 90.00
_cell_angle_gamma 90.00
loop_
_atom_site_label
_atom_site_fract_x
_atom_site_fract_y
_atom_site_fract_z
_atom_site_occupancy
Cd1 0.0000 0.0000 0.0000 1
Bi1 0.5000 0.5000 0.5000 1
W1 0.0000 0.5000 0.5000 1
Se1 0.5000 0.5000 0.0000 1

=====

# Cd2SiBi, optimized geometry, DFT PBEsol
# ΔE_f (raw): 0.30 eV/atom
data_Cd2SiBi
_space_group_name_H-M_alt 'I -4 2 d'
_space_group_IT_number 122
_space_group_name_Hall 'I -4 2bw'
_cell_length_a 4.1849
_cell_length_b 4.1849
_cell_length_c 21.6500
_cell_angle_alpha 90.00
_cell_angle_beta 90.00
_cell_angle_gamma 90.00
loop_
_atom_site_label
_atom_site_fract_x
_atom_site_fract_y
_atom_site_fract_z
_atom_site_occupancy
Cd1 0.2346 0.2500 0.1250 1
Si1 0.0000 0.0000 0.0000 1
Bi1 0.0000 0.0000 0.5000 1

=====

# CdSiBi3, optimized geometry, DFT PBEsol
# ΔE_f (raw): 0.61 eV/atom
data_CdSiBi3
_space_group_name_H-M_alt 'P m -3 m'
_space_group_IT_number 221
_space_group_name_Hall '-P 4 2 3'
_cell_length_a 5.3863
_cell_length_b 5.3863
_cell_length_c 5.3863
_cell_angle_alpha 90.00
_cell_angle_beta 90.00
_cell_angle_gamma 90.00
loop_
_atom_site_label
_atom_site_fract_x
_atom_site_fract_y
_atom_site_fract_z
_atom_site_occupancy
Cd1 0.0000 0.0000 0.0000 1
Si1 0.5000 0.5000 0.5000 1
Bi1 0.0000 0.5000 0.5000 1

=====

| no. | Fermi-level density of states (states/eV/f.u.) | E (Ry per atom) |
| --- | --- | --- |
| 1 | 9.6 | -0.3524 |
| 2 | 1.9 | -0.2066 |
| 3 | 3.9 | -0.2464 |